# 1
Compound: Th3BiH
Source: Alexandria via LeMat-Bulk
Functional: PBE
Structure: relaxed

CIF file:
```
data_Th3BiH
_cell_length_a 5.010
_cell_length_b 5.010
_cell_length_c 5.010
_cell_angle_alpha 90.00
_cell_angle_beta 90.00
_cell_angle_gamma 90.00
_symmetry_space_group_name_H-M 'P m -3 m'
_symmetry_Int_Tables_number 221
_symmetry_space_group_name_Hall '-P 4 2 3'
loop_
_atom_site_label
_atom_site_type_symbol
_atom_site_fract_x
_atom_site_fract_y
_atom_site_fract_z
Th1 Th 0.000 0.000 0.500
Bi1 Bi 0.500 0.500 0.500
H1 H 0.000 0.000 0.000
```

Size of the total moment = 0.0 μB per formula unit
E above lowest polymorph = 0.0000 eV/atom
Crystal system = cubic
Density = 11.97 g cm⁻³


# 2
Compound: Th2BiH
Source: Alexandria via LeMat-Bulk
Functional: PBE
Structure: relaxed

CIF file:
```
data_Th2BiH
_cell_length_a 5.478
_cell_length_b 16.720
_cell_length_c 4.259
_cell_angle_alpha 90.00
_cell_angle_beta 90.00
_cell_angle_gamma 90.00
_symmetry_space_group_name_H-M 'C m m m'
_symmetry_Int_Tables_number 65
_symmetry_space_group_name_Hall '-C 2 2'
loop_
_atom_site_label
_atom_site_type_symbol
_atom_site_fract_x
_atom_site_fract_y
_atom_site_fract_z
Th1 Th 0.000 0.000 0.000
Th2 Th 0.000 0.181 0.500
Th3 Th 0.000 0.500 0.500
Bi1 Bi 0.000 0.344 0.000
H1 H 0.000 0.051 0.500
```

Size of the total moment = 0.0 μB per formula unit
E above lowest polymorph = 0.0054 eV/atom
Crystal system = orthorhombic
Density = 11.48 g cm⁻³


# 3
Compound: Th3BiH
Source: Alexandria via LeMat-Bulk
Functional: PBE
Structure: relaxed

CIF file:
```
data_Th3BiH
_cell_length_a 12.028
_cell_length_b 7.038
_cell_length_c 8.460
_cell_angle_alpha 90.00
_cell_angle_beta 134.34
_cell_angle_gamma 90.00
_symmetry_space_group_name_H-M 'C 1 2/m 1'
_symmetry_Int_Tables_number 12
loop_
_symmetry_equiv_pos_as_xyz
'x,y,z'
'-x,-y,-z'
'-x,y,-z'
'x,-y,z'
'x+1/2,y+1/2,z'
'-x+1/2,-y+1/2,-z'
'-x+1/2,y+1/2,-z'
'x+1/2,-y+1/2,z'
loop_
_atom_site_label
_atom_site_type_symbol
_atom_site_fract_x
_atom_site_fract_y
_atom_site_fract_z
Th1 Th 0.041 0.249 0.296
Th2 Th 0.244 0.500 0.195
Bi1 Bi 0.247 0.000 0.198
H1 H 0.249 0.500 0.468
```

Size of the total moment = 0.0 μB per formula unit
E above lowest polymorph = 0.0331 eV/atom
Crystal system = monoclinic
Density = 11.75 g cm⁻³


# 4
Compound: Th2BiH
Source: Alexandria via LeMat-Bulk
Functional: PBE
Structure: relaxed

CIF file:
```
data_Th2BiH
_cell_length_a 5.712
_cell_length_b 5.708
_cell_length_c 6.810
_cell_angle_alpha 90.00
_cell_angle_beta 114.51
_cell_angle_gamma 90.00
_symmetry_space_group_name_H-M 'C 1 2 1'
_symmetry_Int_Tables_number 5
loop_
_symmetry_equiv_pos_as_xyz
'x,y,z'
'-x,y,-z'
'x+1/2,y+1/2,z'
'-x+1/2,y+1/2,-z'
loop_
_atom_site_label
_atom_site_type_symbol
_atom_site_fract_x
_atom_site_fract_y
_atom_site_fract_z
Th1 Th 0.145 0.000 0.292
Bi1 Bi 0.000 0.500 0.000
H1 H 0.000 0.252 0.500
```

Size of the total moment = 0.0 μB per formula unit
E above lowest polymorph = 0.0000 eV/atom
Crystal system = monoclinic
Density = 11.08 g cm⁻³